This record from Alexandria via LeMat-Bulk describes an optimized crystal structure of NbMoI2O. The functional is PBE+U.

Results
Calculated total energy (eV per atom): -4.77
Polymorph energy (0 for the lowest one) (meV/atom): 513.8
Fermi-level density of states (states/eV/cell): 3.50

Structure (CIF):
```
data_NbMoI2O
_chemical_formula_sum 'Nb1 Mo1 I2 O1'
_cell_length_a 5.8720
_cell_length_b 5.8720
_cell_length_c 3.8874
_cell_angle_alpha 90.00
_cell_angle_beta 90.00
_cell_angle_gamma 90.00
_symmetry_space_group_name_H-M 'P 1'
_symmetry_Int_Tables_number 1
_symmetry_space_group_name_Hall 'P 1'
loop_
_atom_site_label
_atom_site_fract_x
_atom_site_fract_y
_atom_site_fract_z
_atom_site_occupancy
I1 0.0000 0.5000 0.0000 1
I2 0.5000 0.0000 0.0000 1
Mo1 0.0000 0.0000 0.0000 1
Nb1 0.5000 0.5000 0.5000 1
O1 0.0000 0.0000 0.5000 1
```